Compound: Ga2SnIr2
Source: the Alexandria database
Functional: GGA-PBE
Structure: optimized geometry

Unit cell a=7.5266 b=7.5266 c=2.9365 alpha=90.00 beta=90.00 gamma=90.00
Fractional coordinates of all 10 atoms:
Ga: 0.1435 0.3565 0.0000
Ga: 0.3565 0.8565 0.0000
Ga: 0.6435 0.1435 0.0000
Ga: 0.8565 0.6435 0.0000
Sn: 0.0000 0.0000 0.5000
Sn: 0.5000 0.5000 0.5000
Ir: 0.1512 0.6512 0.5000
Ir: 0.3488 0.1512 0.5000
Ir: 0.6512 0.8488 0.5000
Ir: 0.8488 0.3488 0.5000

Summary:
total energy = -5.812 eV per atom
energy of formation from the pure elements = -123.7 kJ/mol of formula units
DOS at the Fermi energy = 6.98 states/eV/cell
energy relative to the lowest polymorph listed for this composition = 14 meV/atom
total moment = 0.00 μB per formula unit

---

Compound: Ga2SnIr2
Source: the Alexandria database
Functional: GGA-PBE
Structure: optimized geometry

Unit cell a=7.6387 b=7.6387 c=2.8743 alpha=90.00 beta=90.00 gamma=90.00
Fractional coordinates of all 10 atoms:
Ga: 0.1325 0.3675 0.0000
Ga: 0.3675 0.8675 0.0000
Ga: 0.6325 0.1325 0.0000
Ga: 0.8675 0.6325 0.0000
Sn: 0.0000 0.0000 0.0000
Sn: 0.5000 0.5000 0.0000
Ir: 0.1600 0.6600 0.5000
Ir: 0.3400 0.1600 0.5000
Ir: 0.6600 0.8400 0.5000
Ir: 0.8400 0.3400 0.5000

Summary:
total energy = -5.688 eV per atom
energy of formation from the pure elements = -63.9 kJ/mol of formula units
DOS at the Fermi energy = 3.84 states/eV/cell
energy relative to the lowest polymorph listed for this composition = 138 meV/atom
total moment = 0.00 μB per formula unit

---

Compound: Ga2SnIr
Source: the Alexandria database
Functional: GGA-PBE
Structure: optimized geometry

Unit cell a=6.2270 b=6.2270 c=10.7597 alpha=90.00 beta=90.00 gamma=90.00
Fractional coordinates of all 16 atoms:
Ga: 0.1966 0.2500 0.1250
Ga: 0.2500 0.6966 0.3750
Ga: 0.2500 0.8034 0.8750
Ga: 0.3034 0.2500 0.6250
Ga: 0.6966 0.7500 0.6250
Ga: 0.7500 0.1966 0.8750
Ga: 0.7500 0.3034 0.3750
Ga: 0.8034 0.7500 0.1250
Sn: 0.0000 0.0000 0.5000
Sn: 0.0000 0.5000 0.7500
Sn: 0.5000 0.0000 0.2500
Sn: 0.5000 0.5000 0.0000
Ir: 0.0000 0.0000 0.0000
Ir: 0.0000 0.5000 0.2500
Ir: 0.5000 0.0000 0.7500
Ir: 0.5000 0.5000 0.5000

Summary:
total energy = -4.433 eV per atom
energy of formation from the pure elements = 114.5 kJ/mol of formula units
DOS at the Fermi energy = 7.36 states/eV/cell
total moment = 0.00 μB per formula unit

---

Compound: Ga3SnIr
Source: the Alexandria database
Functional: GGA-PBE
Structure: optimized geometry

Unit cell a=6.4399 b=6.4399 c=6.3570 alpha=118.93 beta=118.93 gamma=71.11
Fractional coordinates of all 10 atoms:
Ga: 0.0158 0.6412 0.8736
Ga: 0.0643 0.0643 0.3646
Ga: 0.3588 0.9842 0.1264
Ga: 0.6412 0.0158 0.8736
Ga: 0.9357 0.9357 0.6354
Ga: 0.9842 0.3588 0.1264
Sn: 0.4385 0.4385 0.6981
Sn: 0.5615 0.5615 0.3019
Ir: 0.2387 0.2387 0.8631
Ir: 0.7613 0.7613 0.1369

Summary:
total energy = -4.563 eV per atom
energy of formation from the pure elements = -84.2 kJ/mol of formula units
DOS at the Fermi energy = 4.01 states/eV/cell
energy relative to the lowest polymorph listed for this composition = 0 meV/atom
total moment = 0.00 μB per formula unit

---

Compound: GaSnIr
Source: the Alexandria database
Functional: GGA-PBE
Structure: optimized geometry

Unit cell a=4.3966 b=4.3966 c=12.4288 alpha=90.00 beta=90.00 gamma=90.00
Fractional coordinates of all 12 atoms:
Ga: 0.0000 0.5000 0.0000
Ga: 0.0000 0.5000 0.5000
Ga: 0.5000 0.0000 0.0000
Ga: 0.5000 0.0000 0.5000
Sn: 0.0000 0.5000 0.2500
Sn: 0.0000 0.5000 0.7500
Sn: 0.5000 0.0000 0.2500
Sn: 0.5000 0.0000 0.7500
Ir: 0.0000 0.0000 0.1144
Ir: 0.0000 0.0000 0.8856
Ir: 0.5000 0.5000 0.3856
Ir: 0.5000 0.5000 0.6145

Summary:
total energy = -5.617 eV per atom
energy of formation from the pure elements = -92.5 kJ/mol of formula units
DOS at the Fermi energy = 5.10 states/eV/cell
total moment = 0.00 μB per formula unit

---

Compound: Ga2SnIr2
Source: the Alexandria database
Functional: GGA-PBE
Structure: optimized geometry

Unit cell a=3.6730 b=3.6730 c=12.6314 alpha=90.00 beta=90.00 gamma=90.00
Fractional coordinates of all 10 atoms:
Ga: 0.0000 0.5000 0.2500
Ga: 0.0000 0.5000 0.7500
Ga: 0.5000 0.0000 0.2500
Ga: 0.5000 0.0000 0.7500
Sn: 0.0000 0.0000 0.0000
Sn: 0.5000 0.5000 0.5000
Ir: 0.0000 0.0000 0.3925
Ir: 0.0000 0.0000 0.6075
Ir: 0.5000 0.5000 0.1075
Ir: 0.5000 0.5000 0.8925

Summary:
total energy = -5.826 eV per atom
energy of formation from the pure elements = -130.3 kJ/mol of formula units
DOS at the Fermi energy = 3.65 states/eV/cell
energy relative to the lowest polymorph listed for this composition = 0 meV/atom
total moment = 0.00 μB per formula unit

---

Compound: Ga2Sn2Ir
Source: the Alexandria database
Functional: GGA-PBE
Structure: optimized geometry

Unit cell a=6.9536 b=6.9536 c=4.6252 alpha=90.00 beta=90.00 gamma=90.00
Fractional coordinates of all 10 atoms:
Ga: 0.1658 0.3342 0.0000
Ga: 0.3342 0.8342 0.0000
Ga: 0.6658 0.1658 0.0000
Ga: 0.8342 0.6658 0.0000
Sn: 0.1524 0.6524 0.5000
Sn: 0.3476 0.1524 0.5000
Sn: 0.6524 0.8476 0.5000
Sn: 0.8476 0.3476 0.5000
Ir: 0.0000 0.0000 0.5000
Ir: 0.5000 0.5000 0.5000

Summary:
total energy = -4.385 eV per atom
energy of formation from the pure elements = 96.1 kJ/mol of formula units
DOS at the Fermi energy = 5.61 states/eV/cell
total moment = 0.00 μB per formula unit

---

Compound: GaSnIr
Source: the Alexandria database
Functional: GGA-PBE
Structure: optimized geometry

Unit cell a=6.2102 b=6.2102 c=6.2102 alpha=90.00 beta=90.00 gamma=90.00
Fractional coordinates of all 12 atoms:
Ga: 0.0000 0.0000 0.0000
Ga: 0.0000 0.5000 0.5000
Ga: 0.5000 0.0000 0.5000
Ga: 0.5000 0.5000 0.0000
Sn: 0.0000 0.0000 0.5000
Sn: 0.0000 0.5000 0.0000
Sn: 0.5000 0.0000 0.0000
Sn: 0.5000 0.5000 0.5000
Ir: 0.2500 0.2500 0.2500
Ir: 0.2500 0.7500 0.7500
Ir: 0.7500 0.2500 0.7500
Ir: 0.7500 0.7500 0.2500

Summary:
total energy = -5.598 eV per atom
energy of formation from the pure elements = -87.1 kJ/mol of formula units
DOS at the Fermi energy = 3.78 states/eV/cell
total moment = 0.00 μB per formula unit

---

Compound: GaSnIr2
Source: the Alexandria database
Functional: GGA-PBE
Structure: optimized geometry

Unit cell a=6.3699 b=6.3699 c=6.3699 alpha=90.00 beta=90.00 gamma=90.00
Fractional coordinates of all 16 atoms:
Ga: 0.0000 0.0000 0.0000
Ga: 0.0000 0.5000 0.5000
Ga: 0.5000 0.0000 0.5000
Ga: 0.5000 0.5000 0.0000
Sn: 0.0000 0.0000 0.5000
Sn: 0.0000 0.5000 0.0000
Sn: 0.5000 0.0000 0.0000
Sn: 0.5000 0.5000 0.5000
Ir: 0.2500 0.2500 0.2500
Ir: 0.2500 0.2500 0.7500
Ir: 0.2500 0.7500 0.2500
Ir: 0.2500 0.7500 0.7500
Ir: 0.7500 0.2500 0.2500
Ir: 0.7500 0.2500 0.7500
Ir: 0.7500 0.7500 0.2500
Ir: 0.7500 0.7500 0.7500

Summary:
total energy = -6.275 eV per atom
energy of formation from the pure elements = -33.6 kJ/mol of formula units
DOS at the Fermi energy = 17.34 states/eV/cell
energy relative to the lowest polymorph listed for this composition = 82 meV/atom
total moment = 0.00 μB per formula unit

---

Compound: Ga3SnIr
Source: the Alexandria database
Functional: GGA-PBE
Structure: optimized geometry

Unit cell a=4.8487 b=4.8487 c=4.8487 alpha=90.00 beta=90.00 gamma=90.00
Fractional coordinates of all 5 atoms:
Ga: 0.0000 0.0000 0.5000
Ga: 0.0000 0.5000 0.0000
Ga: 0.5000 0.0000 0.0000
Sn: 0.5000 0.5000 0.5000
Ir: 0.0000 0.0000 0.0000

Summary:
total energy = -4.416 eV per atom
energy of formation from the pure elements = -12.9 kJ/mol of formula units
DOS at the Fermi energy = 3.61 states/eV/cell
energy relative to the lowest polymorph listed for this composition = 148 meV/atom
total moment = 0.00 μB per formula unit

---

Compound: Ga2SnIr
Source: the Alexandria database
Functional: GGA-PBE
Structure: optimized geometry

Unit cell a=3.8504 b=8.2679 c=4.9717 alpha=90.00 beta=112.61 gamma=90.00
Fractional coordinates of all 8 atoms:
Ga: 0.1401 0.0414 0.2794
Ga: 0.1401 0.4586 0.2794
Ga: 0.8599 0.5414 0.7206
Ga: 0.8599 0.9586 0.7206
Sn: 0.4271 0.2500 0.8548
Sn: 0.5729 0.7500 0.1452
Ir: 0.2824 0.7500 0.5658
Ir: 0.7176 0.2500 0.4342

Summary:
total energy = -4.998 eV per atom
energy of formation from the pure elements = -103.8 kJ/mol of formula units
DOS at the Fermi energy = 2.01 states/eV/cell
total moment = 0.00 μB per formula unit